# 1
PBE-GGA Pm2Ge4Ir3, relaxed; DFT formation energy = -0.73 eV per atom; space-group type = Cmce (64); ΔE to the lowest computed polymorph = 0.0000 eV/atom
1.0
5.375 0.000 -2.106
0.000 7.519 0.000
0.077 0.000 8.110
Ge Pm Ir
8 4 6
Cartesian
4.355 1.880 -0.753
1.668 1.880 0.300
1.012 7.314 2.583
1.097 5.639 6.757
3.700 3.963 1.530
4.440 0.204 3.421
3.785 5.639 5.704
1.753 3.555 4.474
2.154 0.682 5.499
4.842 3.078 4.446
0.610 4.441 1.558
3.298 6.837 0.505
2.688 3.759 -1.053
0.179 5.639 4.414
0.000 0.000 0.000
5.273 1.880 1.590
2.867 5.639 3.361
2.585 1.880 2.643



# 2
PBE-GGA Pm3Ge9Ir2, relaxed; DFT formation energy = -0.43 eV per atom; space-group type = Immm (71)
1.0
-0.808 -0.802 4.101
-7.581 -3.596 0.011
2.440 -7.948 1.135
Ge Pm Ir
9 3 2
Cartesian
0.189 -5.368 1.196
-4.230 -3.449 0.700
-3.613 -10.736 3.814
-2.337 -1.610 1.433
-6.072 -9.669 3.538
0.122 -2.678 1.709
-1.719 -8.898 4.547
-2.571 -5.772 0.573
-6.139 -6.979 4.051
0.000 0.000 0.000
-2.204 -4.263 3.149
-3.745 -8.084 2.098
-5.220 -5.199 2.372
-0.730 -7.148 2.875



# 3
PBE-GGA Pm7Ge2Ir, relaxed; DFT formation energy = -0.37 eV per atom; space-group type = P3m1 (156)
1.0
5.065 0.000 0.000
-2.532 4.386 0.000
0.000 0.000 12.894
Ge Pm Ir
2 7 1
Cartesian
0.000 2.924 8.675
2.532 1.462 4.511
0.000 0.000 3.330
0.000 0.000 9.610
0.000 2.924 0.037
0.000 2.924 5.457
2.532 1.462 1.522
2.532 1.462 7.516
2.532 1.462 11.166
0.000 0.000 12.857



# 4
PBE-GGA Pm3Ge2Ir, relaxed; DFT formation energy = -0.69 eV per atom; space-group type = R-3c (167); ΔE to the lowest computed polymorph = 0.1421 eV/atom
1.0
7.421 0.447 0.348
2.822 6.878 0.348
2.822 2.018 6.585
Pm Ir Ge
6 2 4
Cartesian
7.571 7.141 2.169
6.977 3.422 0.887
3.861 6.054 3.102
9.205 3.289 4.180
6.088 5.921 6.394
5.494 2.203 5.113
0.000 0.000 0.000
6.533 4.672 3.641
1.992 1.425 1.110
4.540 3.247 2.531
11.073 7.919 6.171
8.525 6.096 4.751



# 5
PBE-GGA Pm6GeIr2, relaxed; DFT formation energy = -0.41 eV per atom; space-group type = C2/m (12)
1.0
-2.880 3.748 3.046
-5.367 -2.416 3.087
2.637 0.121 7.534
Pm Ir Ge
6 2 1
Cartesian
-1.627 1.834 6.585
-3.598 1.009 10.926
1.242 -0.279 6.708
-3.984 -0.381 7.083
-6.853 1.732 6.960
-2.012 0.444 2.741
-2.016 -0.479 9.063
-3.594 1.932 4.604
-1.365 -1.147 5.311



# 6
PBE-GGA Pm8GeIr2, relaxed; DFT formation energy = -0.38 eV per atom; space-group type = Cm (8); ΔE to the lowest computed polymorph = 0.0421 eV/atom
1.0
0.437 -4.652 -4.197
-3.062 -3.843 5.937
-5.155 4.506 -3.537
Ir Pm Ge
2 8 1
Cartesian
-3.514 -3.507 0.912
-4.294 -0.391 -2.623
-6.634 -0.074 -0.917
-3.108 -6.567 -0.277
-1.734 -1.469 -3.204
-1.180 -3.682 -0.693
-6.074 -2.311 1.622
-4.960 -3.266 -1.783
-2.978 -0.622 0.109
-4.275 -1.909 -5.562
0.008 -0.776 -0.686



# 7
PBE-GGA Pm2Ge6Ir, relaxed; DFT formation energy = -0.51 eV per atom; space-group type = Amm2 (38); ΔE to the lowest computed polymorph = 0.0000 eV/atom
1.0
-0.969 -2.315 3.185
0.407 -3.468 -2.396
11.241 0.492 1.196
Ir Ge Pm
1 6 2
Cartesian
5.611 -3.256 1.922
9.978 -2.339 1.336
2.321 -1.865 -0.649
4.134 -1.443 2.790
4.742 -2.015 -0.022
7.974 -3.402 2.535
1.718 -1.294 2.164
10.195 -1.818 4.361
7.185 -0.445 1.863



# 8
PBE-GGA PmGe2Ir2, relaxed; DFT formation energy = -0.78 eV per atom; space-group type = P4/nmm (129)
1.0
-1.608 -0.584 3.916
0.694 -4.203 -0.342
9.257 1.204 3.981
Ir Ge Pm
4 4 2
Cartesian
4.629 0.602 1.991
4.171 -1.792 3.778
7.274 0.758 5.432
1.526 -1.948 0.336
3.756 -1.658 1.295
0.000 0.000 0.000
-0.457 -2.394 1.787
5.044 0.468 4.473
1.466 0.003 2.934
7.335 -1.193 2.834



# 9
PBE-GGA Pm2GeIr3, relaxed; DFT formation energy = -0.75 eV per atom; space-group type = R-3m (166)
1.0
-1.951 4.774 -0.905
-2.473 2.175 4.070
2.595 3.913 2.317
Ge Pm Ir
1 2 3
Cartesian
0.000 0.000 0.000
-1.142 6.781 3.422
-0.687 4.080 2.059
1.297 1.956 1.158
-1.237 1.087 2.035
-0.975 2.387 -0.453



# 10
PBE-GGA Pm2Ge3Ir, relaxed; DFT formation energy = -0.79 eV per atom; space-group type = Fmmm (69)
1.0
-5.418 2.483 -0.439
-2.292 -5.090 -2.133
2.302 -0.872 8.146
Pm Ge Ir
4 6 2
Cartesian
-3.087 -3.163 -1.702
-3.485 0.154 3.211
-4.622 0.556 -0.870
-1.922 -3.633 2.364
0.624 -1.160 6.337
-2.204 -1.025 0.514
-3.203 -2.454 5.060
-6.031 -2.319 -0.762
-0.526 -0.737 2.324
-4.881 -2.742 3.250
-1.038 -1.454 4.585
-4.370 -2.025 0.989



# 11
PBE-GGA Pm5GeIr2, relaxed; DFT formation energy = -0.43 eV per atom; space-group type = Cmcm (63); ΔE to the lowest computed polymorph = 0.2219 eV/atom
1.0
-0.839 4.691 -3.069
-4.491 -5.369 -1.746
-9.429 4.708 9.773
Ge Pm Ir
2 10 4
Cartesian
-10.263 4.170 3.944
-4.496 -0.140 1.015
-7.373 0.082 2.140
-10.600 2.528 1.528
-7.385 3.948 2.818
-10.961 5.734 6.525
-1.588 0.218 0.767
-13.171 3.812 4.192
-4.158 1.501 3.431
-5.497 1.847 -0.909
-9.261 2.183 5.867
-3.797 -1.704 -1.566
-4.401 0.499 -3.268
-10.357 3.530 8.226
-8.028 2.311 0.492
-6.730 1.719 4.467



# 12
PBE-GGA Pm7GeIr2, relaxed; DFT formation energy = -0.37 eV per atom; space-group type = P3m1 (156)
1.0
-4.771 1.229 -0.642
1.698 -4.345 -1.711
-3.031 -5.731 11.547
Pm Ir Ge
7 2 1
Cartesian
-2.184 -4.131 8.323
-1.766 -4.959 3.627
-4.368 -3.944 5.682
-3.011 -1.377 0.510
-5.182 -5.484 8.784
-0.864 -1.633 3.290
-3.389 -8.029 9.813
-3.690 -2.663 3.099
-2.491 -6.330 6.389
-0.092 -0.174 0.351



# 13
PBE-GGA Pm4Ge5Ir2, relaxed; DFT formation energy = -0.70 eV per atom; space-group type = P2/m (10)
1.0
-3.647 -1.053 -1.873
-1.911 -3.698 5.802
-3.668 6.713 3.366
Pm Ge Ir
4 5 2
Cartesian
-5.426 4.429 3.290
-3.800 -2.467 4.005
-3.716 1.158 1.802
-5.510 0.804 5.494
-3.212 2.784 4.689
-0.660 0.408 1.057
-4.919 2.608 8.112
-0.956 -1.849 2.901
-2.367 0.232 4.479
-2.465 3.915 2.598
-3.114 -0.899 6.570



# 14
PBE-GGA Pm3Ge7Ir2, relaxed; DFT formation energy = -0.67 eV per atom; space-group type = P2/m (10)
1.0
4.341 0.000 0.000
0.000 4.343 -0.002
0.000 -2.166 13.069
Ge Pm Ir
7 3 2
Cartesian
2.171 -0.005 2.242
0.000 2.169 2.238
2.171 2.173 5.829
0.000 0.000 0.000
2.171 0.004 7.238
0.000 0.008 10.829
2.171 2.182 10.824
2.171 2.171 -0.001
0.000 2.174 8.288
0.000 0.003 4.779
2.171 2.167 3.404
2.171 0.010 9.663



# 15
PBE-GGA Pm4GeIr3, relaxed; DFT formation energy = -0.72 eV per atom; space-group type = Pmm2 (25)
1.0
-1.272 1.033 3.794
-3.626 -2.119 -0.639
4.524 -8.931 3.949
Pm Ir Ge
4 3 1
Cartesian
2.280 -5.240 4.442
2.045 -8.677 3.048
-0.810 -3.781 3.009
0.652 -1.287 0.569
1.894 -3.739 1.653
3.569 -7.786 5.568
0.798 -6.215 1.960
-2.131 -1.173 1.856



# 16
PBE-GGA Pm6Ge3Ir, relaxed; DFT formation energy = -0.56 eV per atom; space-group type = R-3 (148)
1.0
8.567 -0.669 -0.684
-0.855 8.550 -0.684
-0.855 -0.874 8.533
Pm Ge Ir
12 6 2
Cartesian
-0.523 1.847 7.872
7.839 -0.353 2.021
0.754 4.330 3.122
2.545 3.905 6.247
3.008 0.820 4.398
3.849 6.188 2.767
-0.982 7.360 5.144
4.999 -0.874 7.472
6.103 2.678 4.043
7.379 5.161 -0.708
1.858 7.881 -0.308
4.312 3.102 0.917
6.599 5.091 2.140
4.974 0.365 2.027
0.257 1.916 5.024
1.910 5.016 0.410
4.947 1.991 6.754
1.883 6.642 5.137
3.428 3.504 3.582
0.000 0.000 0.000



# 17
PBE-GGA PmGe4Ir, relaxed; DFT formation energy = -0.41 eV per atom; space-group type = P-1 (2)
1.0
6.346 -0.006 0.014
0.001 6.777 1.133
-3.192 -1.539 5.411
Ge Ir Pm
8 2 2
Cartesian
-0.868 2.580 5.576
0.823 -0.802 5.007
3.925 5.025 3.752
4.024 2.652 0.981
2.405 1.640 3.174
0.751 3.592 3.383
-0.769 0.207 2.806
2.333 6.034 1.551
-1.595 2.619 3.272
1.577 -0.772 2.712
5.715 5.082 0.870
-2.559 0.150 5.687



# 18
PBE-GGA Pm2Ge6Ir, relaxed; DFT formation energy = -0.49 eV per atom; space-group type = P-3m1 (164); ΔE to the lowest computed polymorph = 0.0117 eV/atom
1.0
5.478 -0.029 -0.017
0.033 6.104 0.006
0.033 3.046 5.290
Ge Ir Pm
6 1 2
Cartesian
1.739 6.092 1.924
3.805 3.029 3.354
1.739 4.704 4.324
3.790 1.645 0.952
1.754 7.477 4.327
3.805 4.418 0.955
0.000 0.000 0.000
4.531 6.077 3.517
1.013 3.044 1.762



# 19
PBE-GGA Pm8GeIr2, relaxed; DFT formation energy = -0.42 eV per atom; space-group type = C2/m (12); ΔE to the lowest computed polymorph = 0.0000 eV/atom
1.0
4.997 0.000 0.000
0.000 7.139 0.215
-2.499 -2.802 8.566
Ir Pm Ge
2 8 1
Cartesian
0.000 3.990 3.450
2.499 0.347 5.332
0.000 -1.569 5.652
2.499 2.703 1.711
0.000 1.131 3.531
2.499 3.205 5.251
0.000 1.634 7.070
2.499 5.906 3.129
0.000 5.322 0.782
2.499 -0.985 8.000
2.499 0.000 0.000



# 20
PBE-GGA Pm3Ge8Ir3, relaxed; DFT formation energy = -0.47 eV per atom; space-group type = Immm (71); ΔE to the lowest computed polymorph = 0.0940 eV/atom
1.0
-2.722 -2.406 -2.140
2.856 0.100 -7.897
3.756 -7.495 -0.503
Ge Ir Pm
8 3 3
Cartesian
1.925 -5.914 -8.258
2.154 -7.849 -6.374
1.071 -6.561 -2.291
2.819 -3.240 -8.248
1.736 -1.952 -4.165
0.533 -2.018 -6.715
3.357 -7.783 -3.825
1.965 -3.887 -2.282
3.041 -1.464 -6.374
3.570 -5.930 -2.026
-1.361 -1.203 -1.070
4.898 -6.479 -7.250
1.945 -4.901 -5.270
-1.008 -3.322 -3.290